1.
# CaLuTlPb, optimized geometry, DFT PBE
# - E_form: -349 meV per atom
data_CaLuTlPb
_cell_length_a 7.674
_cell_length_b 7.674
_cell_length_c 7.674
_cell_angle_alpha 90.00
_cell_angle_beta 90.00
_cell_angle_gamma 90.00
_space_group_name_H-M_alt 'F -4 3 m'
_space_group_IT_number 216
_space_group_name_Hall 'F -4 2 3'
loop_
_atom_site_label
_atom_site_type_symbol
_atom_site_fract_x
_atom_site_fract_y
_atom_site_fract_z
_atom_site_occupancy
Ca1 Ca 0.000 0.000 0.000 1
Lu1 Lu 0.000 0.000 0.500 1
Tl1 Tl 0.250 0.250 0.250 1
Pb1 Pb 0.250 0.250 0.750 1

***

2.
# CaLuZnPb, optimized geometry, DFT PBE
# - E_form: -324 meV per atom
data_CaLuZnPb
_cell_length_a 7.445
_cell_length_b 7.445
_cell_length_c 7.445
_cell_angle_alpha 90.00
_cell_angle_beta 90.00
_cell_angle_gamma 90.00
_space_group_name_H-M_alt 'F -4 3 m'
_space_group_IT_number 216
_space_group_name_Hall 'F -4 2 3'
loop_
_atom_site_label
_atom_site_type_symbol
_atom_site_fract_x
_atom_site_fract_y
_atom_site_fract_z
_atom_site_occupancy
Ca1 Ca 0.000 0.000 0.000 1
Lu1 Lu 0.000 0.000 0.500 1
Zn1 Zn 0.250 0.250 0.750 1
Pb1 Pb 0.250 0.250 0.250 1

***

3.
# CaLuPd2, optimized geometry, DFT PBE
# - Excess energy over the best structure of this formula in the dataset: 0.27 eV per formula unit
# - E_form: -793 meV per atom
data_CaLuPd2
_cell_length_a 6.940
_cell_length_b 6.940
_cell_length_c 6.940
_cell_angle_alpha 90.00
_cell_angle_beta 90.00
_cell_angle_gamma 90.00
_space_group_name_H-M_alt 'F m -3 m'
_space_group_IT_number 225
_space_group_name_Hall '-F 4 2 3'
loop_
_atom_site_label
_atom_site_type_symbol
_atom_site_fract_x
_atom_site_fract_y
_atom_site_fract_z
_atom_site_occupancy
Ca1 Ca 0.000 0.000 0.000 1
Lu1 Lu 0.000 0.000 0.500 1
Pd1 Pd 0.250 0.250 0.250 1

***

4.
# CaLuPd4, optimized geometry, DFT PBE
# - E_form: -732 meV per atom
data_CaLuPd4
_cell_length_a 7.671
_cell_length_b 7.671
_cell_length_c 7.671
_cell_angle_alpha 90.00
_cell_angle_beta 90.00
_cell_angle_gamma 90.00
_space_group_name_H-M_alt 'F -4 3 m'
_space_group_IT_number 216
_space_group_name_Hall 'F -4 2 3'
loop_
_atom_site_label
_atom_site_type_symbol
_atom_site_fract_x
_atom_site_fract_y
_atom_site_fract_z
_atom_site_occupancy
Ca1 Ca 0.000 0.000 0.000 1
Lu1 Lu 0.250 0.250 0.750 1
Pd1 Pd 0.125 0.125 0.375 1